Entry from Alexandria: crystalline LiMnP at its relaxed geometry (PBE-GGA).

The structure belongs to space group Pmmm (No. 47); the cell edges are 2.839, 3.953 and 7.363 Å and the angles 90.00°, 90.00° and 90.00°. The distinct sites, in fractional coordinates, are Li at (0.000, 0.000, 0.000), Li at (0.000, 0.500, 0.500), Mn at (0.500, 0.000, 0.361) and P at (0.500, 0.500, 0.231).

The density of states at the Fermi level comes out at 0.66 states/eV per atom. The energy relative to the elements is -76 meV/atom. The total energy comes out at -5.57 eV/atom.



Entry from Alexandria: crystalline U3Ni5Se12 at its relaxed geometry (PBE-GGA).

The structure belongs to space group Ia-3d (No. 230); the cell edges are 15.062, 15.062 and 15.062 Å and the angles 90.00°, 90.00° and 90.00°. The distinct sites, in fractional coordinates, are U at (0.000, 0.250, 0.125), Ni at (0.000, 0.000, 0.000), Ni at (0.000, 0.250, 0.375) and Se at (0.028, 0.060, 0.648).

The density of states at the Fermi level comes out at 1.20 states/eV per atom. Its formation energy without anion corrections is -616 meV per atom. The total energy comes out at -5.85 eV/atom.